First-principles (PBE) data for a geometry-optimized LiTcPt structure, as listed in Alexandria via LeMat-Bulk.

Density: 12.2 g/cm3
Calculated formation energy: -0.11 eV/atom

a = 4.341 Å, b = 4.341 Å, c = 4.985 Å
α = 90.00°, β = 90.00°, γ = 120.00°
Sites, in units of the cell vectors:
Li (0.333, 0.667, 0.250)
Li (0.667, 0.333, 0.750)
Tc (0.000, 0.000, 0.000)
Tc (0.000, 0.000, 0.500)
Pt (0.333, 0.667, 0.750)
Pt (0.667, 0.333, 0.250)

---

First-principles (PBE) data for a geometry-optimized Ac2LaZrN4 structure, as listed in Alexandria via LeMat-Bulk.

E_form (uncorrected): -1.208 eV per atom
Density: 8.7 g/cm3

a = 6.364 Å, b = 3.651 Å, c = 6.442 Å
α = 90.00°, β = 109.16°, γ = 90.00°
Sites, in units of the cell vectors:
Ac (0.000, 0.000, 0.000)
Ac (0.500, 0.500, 0.000)
La (0.000, 0.500, 0.500)
Zr (0.500, 0.000, 0.500)
N (0.272, 0.000, 0.715)
N (0.278, 0.500, 0.283)
N (0.722, 0.500, 0.717)
N (0.728, 0.000, 0.285)